[1]
# meta-GGA SCAN Hg2Pb, PBEsol geometry
# Density in Mg/m³: 13.39
# Spin magnetization in μB/cell: 0.00
# Calculated volume in Å³/f.u.: 75
# DOS(E_F) in states/eV per atom: 0.4001
# ΔH_f (0 K) in eV per atom: 0.05
data_Hg2Pb
_chemical_formula_sum 'Hg4 Pb2'
_cell_length_a 6.013
_cell_length_b 6.013
_cell_length_c 5.349
_cell_angle_alpha 90.00
_cell_angle_beta 90.00
_cell_angle_gamma 51.29
_symmetry_space_group_name_H-M 'P 1'
_symmetry_Int_Tables_number 1
loop_
_symmetry_equiv_pos_as_xyz
'x,y,z'
loop_
_atom_site_label
_atom_site_fract_x
_atom_site_fract_y
_atom_site_fract_z
Hg1 0.045 0.604 0.750
Hg2 0.396 0.955 0.750
Hg3 0.604 0.045 0.250
Hg4 0.955 0.396 0.250
Pb1 0.277 0.723 0.250
Pb2 0.723 0.277 0.750



[2]
# meta-GGA SCAN Hg3Pb, PBEsol geometry
# Density in Mg/m³: 13.60
# Spin magnetization in μB/cell: 0.00
# Calculated volume in Å³/f.u.: 99
# DOS(E_F) in states/eV per atom: 0.3872
# ΔH_f (0 K) in eV per atom: 0.04
data_Hg3Pb
_chemical_formula_sum 'Hg3 Pb1'
_cell_length_a 3.725
_cell_length_b 3.725
_cell_length_c 7.119
_cell_angle_alpha 90.00
_cell_angle_beta 90.00
_cell_angle_gamma 90.00
_symmetry_space_group_name_H-M 'P 1'
_symmetry_Int_Tables_number 1
loop_
_symmetry_equiv_pos_as_xyz
'x,y,z'
loop_
_atom_site_label
_atom_site_fract_x
_atom_site_fract_y
_atom_site_fract_z
Hg1 0.000 0.000 0.000
Hg2 0.500 0.500 0.233
Hg3 0.500 0.500 0.767
Pb1 0.000 0.000 0.500



[3]
# meta-GGA SCAN Hg3Pb, PBEsol geometry
# Density in Mg/m³: 13.40
# Spin magnetization in μB/cell: 0.00
# Calculated volume in Å³/f.u.: 100
# DOS(E_F) in states/eV per atom: 0.3644
# ΔH_f (0 K) in eV per atom: 0.04
data_Hg3Pb
_chemical_formula_sum 'Hg3 Pb1'
_cell_length_a 5.729
_cell_length_b 5.729
_cell_length_c 5.336
_cell_angle_alpha 92.84
_cell_angle_beta 92.84
_cell_angle_gamma 34.96
_symmetry_space_group_name_H-M 'P 1'
_symmetry_Int_Tables_number 1
loop_
_symmetry_equiv_pos_as_xyz
'x,y,z'
loop_
_atom_site_label
_atom_site_fract_x
_atom_site_fract_y
_atom_site_fract_z
Hg1 0.000 0.000 0.000
Hg2 0.248 0.248 0.756
Hg3 0.752 0.752 0.244
Pb1 0.500 0.500 0.500



[4]
# meta-GGA SCAN HgPb, PBEsol geometry
# Density in Mg/m³: 12.82
# Spin magnetization in μB/cell: 0.00
# Calculated volume in Å³/f.u.: 53
# DOS(E_F) in states/eV per atom: 0.3873
# ΔH_f (0 K) in eV per atom: 0.05
data_HgPb
_chemical_formula_sum 'Hg1 Pb1'
_cell_length_a 5.484
_cell_length_b 5.484
_cell_length_c 5.484
_cell_angle_alpha 36.74
_cell_angle_beta 36.74
_cell_angle_gamma 36.74
_symmetry_space_group_name_H-M 'P 1'
_symmetry_Int_Tables_number 1
loop_
_symmetry_equiv_pos_as_xyz
'x,y,z'
loop_
_atom_site_label
_atom_site_fract_x
_atom_site_fract_y
_atom_site_fract_z
Hg1 0.000 0.000 0.000
Pb1 0.500 0.500 0.500



[5]
# meta-GGA SCAN Hg2Pb, PBEsol geometry
# Density in Mg/m³: 13.48
# Spin magnetization in μB/cell: 0.00
# Calculated volume in Å³/f.u.: 75
# DOS(E_F) in states/eV per atom: 0.3046
# ΔH_f (0 K) in eV per atom: 0.06
data_Hg2Pb
_chemical_formula_sum 'Hg2 Pb1'
_cell_length_a 5.099
_cell_length_b 5.099
_cell_length_c 3.329
_cell_angle_alpha 90.00
_cell_angle_beta 90.00
_cell_angle_gamma 120.00
_symmetry_space_group_name_H-M 'P 1'
_symmetry_Int_Tables_number 1
loop_
_symmetry_equiv_pos_as_xyz
'x,y,z'
loop_
_atom_site_label
_atom_site_fract_x
_atom_site_fract_y
_atom_site_fract_z
Hg1 0.333 0.667 0.000
Hg2 0.667 0.333 0.000
Pb1 0.000 0.000 0.500



[6]
# meta-GGA SCAN HgPb3, PBEsol geometry
# Density in Mg/m³: 12.28
# Spin magnetization in μB/cell: 0.00
# Calculated volume in Å³/f.u.: 111
# DOS(E_F) in states/eV per atom: 0.4735
# ΔH_f (0 K) in eV per atom: 0.04
data_HgPb3
_chemical_formula_sum 'Hg1 Pb3'
_cell_length_a 6.387
_cell_length_b 6.387
_cell_length_c 6.387
_cell_angle_alpha 146.49
_cell_angle_beta 128.60
_cell_angle_gamma 62.76
_symmetry_space_group_name_H-M 'P 1'
_symmetry_Int_Tables_number 1
loop_
_symmetry_equiv_pos_as_xyz
'x,y,z'
loop_
_atom_site_label
_atom_site_fract_x
_atom_site_fract_y
_atom_site_fract_z
Hg1 0.000 0.000 0.000
Pb1 0.237 0.737 0.500
Pb2 0.500 0.500 0.000
Pb3 0.763 0.263 0.500



[7]
# meta-GGA SCAN Hg2Pb, PBEsol geometry
# Density in Mg/m³: 13.38
# Spin magnetization in μB/cell: 0.00
# Calculated volume in Å³/f.u.: 75
# DOS(E_F) in states/eV per atom: 0.3942
# ΔH_f (0 K) in eV per atom: 0.05
data_Hg2Pb
_chemical_formula_sum 'Hg4 Pb2'
_cell_length_a 6.106
_cell_length_b 6.106
_cell_length_c 7.740
_cell_angle_alpha 106.98
_cell_angle_beta 106.98
_cell_angle_gamma 33.32
_symmetry_space_group_name_H-M 'P 1'
_symmetry_Int_Tables_number 1
loop_
_symmetry_equiv_pos_as_xyz
'x,y,z'
loop_
_atom_site_label
_atom_site_fract_x
_atom_site_fract_y
_atom_site_fract_z
Hg1 0.032 0.032 0.261
Hg2 0.349 0.349 0.961
Hg3 0.651 0.651 0.039
Hg4 0.968 0.968 0.739
Pb1 0.333 0.333 0.379
Pb2 0.667 0.667 0.621



[8]
# meta-GGA SCAN Hg5Pb24, PBEsol geometry
# Density in Mg/m³: 11.60
# Spin magnetization in μB/cell: 0.00
# Calculated volume in Å³/f.u.: 856
# DOS(E_F) in states/eV per atom: 0.3413
# ΔH_f (0 K) in eV per atom: 0.01
data_Hg5Pb24
_chemical_formula_sum 'Hg5 Pb24'
_cell_length_a 10.359
_cell_length_b 10.359
_cell_length_c 10.359
_cell_angle_alpha 109.47
_cell_angle_beta 109.47
_cell_angle_gamma 109.47
_symmetry_space_group_name_H-M 'P 1'
_symmetry_Int_Tables_number 1
loop_
_symmetry_equiv_pos_as_xyz
'x,y,z'
loop_
_atom_site_label
_atom_site_fract_x
_atom_site_fract_y
_atom_site_fract_z
Hg1 0.000 0.000 0.000
Hg2 0.000 0.000 0.661
Hg3 0.000 0.661 0.000
Hg4 0.339 0.339 0.339
Hg5 0.661 0.000 0.000
Pb1 0.000 0.195 0.383
Pb2 0.000 0.383 0.195
Pb3 0.000 0.415 0.694
Pb4 0.000 0.694 0.415
Pb5 0.188 0.805 0.805
Pb6 0.195 0.000 0.383
Pb7 0.195 0.383 0.000
Pb8 0.278 0.585 0.585
Pb9 0.306 0.306 0.722
Pb10 0.306 0.722 0.306
Pb11 0.383 0.000 0.195
Pb12 0.383 0.195 0.000
Pb13 0.415 0.000 0.694
Pb14 0.415 0.694 0.000
Pb15 0.585 0.278 0.585
Pb16 0.585 0.585 0.278
Pb17 0.617 0.617 0.812
Pb18 0.617 0.812 0.617
Pb19 0.694 0.000 0.415
Pb20 0.694 0.415 0.000
Pb21 0.722 0.306 0.306
Pb22 0.805 0.188 0.805
Pb23 0.805 0.805 0.188
Pb24 0.812 0.617 0.617